This record from Alexandria describes a relaxed Na2UCrO6 crystal. The functional is PBE with a Hubbard U.

The value obtained for the total energy is -147.74 eV per cell.

Structure (CIF):
```
data_Na2UCrO6
_symmetry_space_group_name_H-M 'C 1 2/m 1'
_symmetry_Int_Tables_number 12
_symmetry_space_group_name_Hall '-C 2y'
_cell_length_a 9.6174
_cell_length_b 5.6761
_cell_length_c 5.5704
_cell_angle_alpha 90.00
_cell_angle_beta 125.32
_cell_angle_gamma 90.00
loop_
_atom_site_label
_atom_site_type_symbol
_atom_site_fract_x
_atom_site_fract_y
_atom_site_fract_z
Na1 Na 0.2480 0.0000 0.2344
U1 U 0.0000 0.5000 0.0000
Cr1 Cr 0.0000 0.0000 0.5000
O1 O 0.0433 0.2443 0.7871
O2 O 0.2357 0.0000 0.6529
```

***

This record from Alexandria describes a relaxed Na2UCr2O6 crystal. The functional is PBE with a Hubbard U.

The value obtained for the total energy is -166.38 eV per cell.

Structure (CIF):
```
data_Na2UCr2O6
_symmetry_space_group_name_H-M 'C 1 2/m 1'
_symmetry_Int_Tables_number 12
_symmetry_space_group_name_Hall '-C 2y'
_cell_length_a 6.0816
_cell_length_b 9.2884
_cell_length_c 6.1775
_cell_angle_alpha 90.00
_cell_angle_beta 115.59
_cell_angle_gamma 90.00
loop_
_atom_site_label
_atom_site_type_symbol
_atom_site_fract_x
_atom_site_fract_y
_atom_site_fract_z
Na1 Na 0.0000 0.1821 0.0000
U1 U 0.0000 0.0000 0.5000
Cr1 Cr 0.0000 0.3384 0.5000
O1 O 0.1941 0.1694 0.7162
O2 O 0.2501 0.0000 0.3253
```

***

This record from Alexandria describes a relaxed NaVCrO5 crystal. The functional is PBE with a Hubbard U.

The value obtained for the total energy is -221.78 eV per cell.

Structure (CIF):
```
data_NaVCrO5
_symmetry_space_group_name_H-M 'C 1 2/c 1'
_symmetry_Int_Tables_number 15
_symmetry_space_group_name_Hall '-C 2yc'
_cell_length_a 6.8961
_cell_length_b 8.9323
_cell_length_c 7.1189
_cell_angle_alpha 90.00
_cell_angle_beta 113.71
_cell_angle_gamma 90.00
loop_
_atom_site_label
_atom_site_type_symbol
_atom_site_fract_x
_atom_site_fract_y
_atom_site_fract_z
Na1 Na 0.0000 0.1782 0.2500
V1 V 0.0000 0.1778 0.7500
Cr1 Cr 0.0000 0.5000 0.0000
O1 O 0.0000 0.4499 0.2500
O2 O 0.0919 0.2912 0.6030
O3 O 0.1987 0.0592 0.9073
```

***

This record from Alexandria describes a relaxed NaVCrO4 crystal. The functional is PBE with a Hubbard U.

The value obtained for the total energy is -96.67 eV per cell.

Structure (CIF):
```
data_NaVCrO4
_symmetry_space_group_name_H-M 'P 1 21/m 1'
_symmetry_Int_Tables_number 11
_symmetry_space_group_name_Hall '-P 2yb'
_cell_length_a 5.4834
_cell_length_b 5.8384
_cell_length_c 6.4854
_cell_angle_alpha 90.00
_cell_angle_beta 103.26
_cell_angle_gamma 90.00
loop_
_atom_site_label
_atom_site_type_symbol
_atom_site_fract_x
_atom_site_fract_y
_atom_site_fract_z
Na1 Na 0.2286 0.2500 0.4250
V1 V 0.2255 0.7500 0.1711
Cr1 Cr 0.2910 0.2500 0.9526
O1 O 0.0006 0.7500 0.3239
O2 O 0.0251 0.7500 0.9209
O3 O 0.4325 0.5165 0.2060
```